# 1
Entry from the Alexandria database: a relaxed AcPmNd3Sm crystal (GGA-PBE).

extended XYZ file:
```
12
Lattice="-1.274 4.414 3.718 6.896 -6.466 5.343 5.444 3.814 -2.663" Properties=species:S:1:pos:R:3 pbc="T T T"
Ac 9.650 0.672 2.511
Ac 1.415 1.091 3.887
Pm 2.217 0.594 0.054
Pm 8.849 1.168 6.344
Nd 4.994 0.282 6.075
Nd 6.850 2.593 3.967
Nd 7.426 -3.138 6.271
Nd 4.216 -0.830 2.431
Nd 3.639 4.900 0.127
Nd 6.072 1.481 0.323
Sm 3.823 2.856 2.617
Sm 7.243 -1.094 3.781
```

Values from the calculation:
Formation enthalpy at 0 K ... 0.19 eV per atom


# 2
Entry from the Alexandria database: a relaxed AcPm6NdSm2 crystal (GGA-PBE).

extended XYZ file:
```
20
Lattice="9.364 -2.160 -2.242 0.975 8.805 -2.140 0.975 -2.464 8.719" Properties=species:S:1:pos:R:3 pbc="T T T"
Ac 3.316 7.973 -2.419
Ac 7.998 -3.793 6.757
Pm 1.369 -0.869 6.123
Pm 5.264 -0.891 6.100
Pm 9.946 5.049 -1.785
Pm 6.050 5.071 -1.762
Pm 4.352 6.851 1.019
Pm 2.280 4.496 -1.425
Pm 6.962 -2.671 3.319
Pm 9.034 -0.316 5.763
Pm 2.284 4.753 2.550
Pm 4.348 2.888 0.615
Pm 9.030 -0.573 1.788
Pm 6.966 1.293 3.723
Nd 3.316 1.599 3.723
Nd 7.998 2.581 0.616
Sm 5.716 4.403 3.285
Sm 0.917 2.141 0.937
Sm 5.599 -0.223 1.053
Sm 10.397 2.039 3.401
```

Values from the calculation:
Formation enthalpy at 0 K ... 0.12 eV per atom


# 3
Entry from the Alexandria database: a relaxed AcPm2Nd2Sm crystal (GGA-PBE).

extended XYZ file:
```
12
Lattice="-3.011 -1.373 1.224 3.528 -4.453 3.685 0.303 11.932 14.130" Properties=species:S:1:pos:R:3 pbc="T T T"
Ac 0.000 0.000 0.000
Ac 0.410 3.053 9.519
Pm 1.086 -0.084 7.664
Pm -0.266 6.190 11.374
Pm 3.043 6.191 14.430
Pm 0.789 1.288 3.385
Nd -0.694 2.578 6.269
Nd 2.516 -1.306 4.724
Nd 1.515 3.528 12.769
Nd 1.316 8.785 13.091
Sm 0.259 -2.913 2.454
Sm 0.151 5.966 7.065
```

Values from the calculation:
Formation enthalpy at 0 K ... 0.27 eV per atom


# 4
Entry from the Alexandria database: a relaxed AcPm2Nd4Sm crystal (GGA-PBE).

extended XYZ file:
```
16
Lattice="-0.571 -7.397 -6.359 8.711 -3.460 2.762 -8.790 4.637 6.944" Properties=species:S:1:pos:R:3 pbc="T T T"
Ac 4.355 -1.730 1.381
Ac -0.611 -6.809 -1.506
Pm -0.286 -3.699 -3.179
Pm -4.680 -1.380 0.292
Pm -4.395 2.318 3.472
Pm 4.070 -5.429 -1.799
Nd 6.387 -4.539 0.539
Nd -2.630 -3.995 -0.652
Nd 1.980 -2.226 3.999
Nd -7.037 -1.682 2.808
Nd -2.570 -3.142 4.137
Nd 1.746 -6.124 1.032
Nd -2.397 -0.097 2.315
Nd 1.919 -3.078 -0.791
Sm -0.325 -3.110 1.673
Sm -9.361 -2.760 0.585
```

Values from the calculation:
Formation enthalpy at 0 K ... 0.37 eV per atom


# 5
Entry from the Alexandria database: a relaxed Ac2TbPm2Nd crystal (GGA-PBE).

extended XYZ file:
```
12
Lattice="5.944 0.000 0.000 0.000 7.363 0.000 0.000 0.000 10.243" Properties=species:S:1:pos:R:3 pbc="T T T"
Ac 2.972 0.056 10.241
Ac 0.000 1.896 1.777
Ac 2.972 3.737 0.002
Ac 0.000 5.578 8.466
Tb 2.972 1.896 6.805
Tb 2.972 5.578 3.438
Pm 0.000 1.898 8.466
Pm 2.972 1.895 3.518
Pm 0.000 5.579 1.777
Pm 2.972 5.577 6.725
Nd 0.000 0.056 5.123
Nd 0.000 3.738 5.120
```

Values from the calculation:
Formation enthalpy at 0 K ... 0.08 eV per atom


# 6
Entry from the Alexandria database: a relaxed Ac2Tb5PmNd crystal (GGA-PBE).

extended XYZ file:
```
18
Lattice="-3.149 2.398 4.279 -6.870 -4.790 -6.341 0.993 -9.257 5.918" Properties=species:S:1:pos:R:3 pbc="T T T"
Ac -7.190 -9.175 3.820
Ac -1.143 -7.566 3.399
Ac -1.687 -3.863 0.923
Ac -7.919 -3.740 0.238
Tb -6.702 -3.094 -3.198
Tb -4.374 -7.745 5.091
Tb -7.333 -10.278 0.363
Tb -4.313 -8.638 1.666
Tb -9.137 -7.151 1.253
Tb -2.770 -4.393 4.393
Tb -4.550 -4.849 -0.631
Tb -1.713 -1.179 3.370
Tb -4.806 -2.139 1.632
Tb -0.325 -0.432 0.003
Pm -5.972 -5.576 2.699
Pm -3.537 -1.569 -1.724
Nd -2.036 -8.307 7.126
Nd -6.569 -7.264 -0.764
```

Values from the calculation:
Formation enthalpy at 0 K ... 0.15 eV per atom


Going through the records in order, we get V values of 221 359 221 292 224 324 Å³/f.u..